Entry from Alexandria via LeMat-Bulk: TlInBr2 after structural relaxation (PBE-GGA).

Calculated values
space group: Fm-3m
formation energy from raw total energies: -712 meV per atom
volume: 129.7 Å³ per cell
size of the total moment: 0.000 Bohr magnetons per cell

Unit cell a=5.6815 b=5.6815 c=5.6815 alpha=60.00 beta=60.00 gamma=60.00
With the nearest neighbours (Å) after each atom.
Sites, in units of the cell vectors:
Tl (0.5000, 0.5000, 0.5000)  8 Br 3.48
Br (0.2500, 0.2500, 0.2500)  4 Tl 3.48, 4 In 3.48
Br (0.7500, 0.7500, 0.7500)  4 Tl 3.48, 4 In 3.48
In (0.0000, 0.0000, 0.0000)  8 Br 3.48